Compound: TaSi
Source: the Alexandria database
Functional: GGA-PBE
Structure: relaxed

The volume is 15.84 Å³/atom. The calculation puts the uncorrected formation energy at 0.2021 eV/atom. The crystal system is cubic.

The structure belongs to space group Fd-3m (No. 227, origin choice 2); the cell edges are 6.328, 6.328 and 6.328 Å and the angles 90.00°, 90.00° and 90.00°. The inequivalent atoms are Ta at (0.125, 0.125, 0.125) and Si at (0.125, 0.125, 0.625).